A plane-wave DFT calculation with PBE was carried out for crystalline CeMnNbN3 at its relaxed geometry.

Properties
ΔE_f (raw) = -1.01 eV/atom
E_tot = -56.191 eV/f.u.

Cell lengths 3.1658, 6.8890, 7.1901 Å; angles 104.65, 90.00, 90.00 degrees
With the nearest neighbours (Å) after each atom.
Fractional positions:
N  0.7500  0.1919  0.4914  3 Mn 1.93-1.95
N  0.7500  0.8815  0.1326  1 Mn 1.91
Ce  0.2500  0.1922  0.2096  7 N 2.38-2.61
N  0.2500  0.5641  0.8468  3 Nb 2.14-2.23
N  0.2500  0.8081  0.5086  3 Mn 1.93-1.95
Mn  0.2500  0.1007  0.5979  4 N 1.91-1.95
N  0.2500  0.1185  0.8674  1 Mn 1.91
Nb  0.2500  0.6636  0.1546  5 N 2.14-2.23
Mn  0.7500  0.8993  0.4021  4 N 1.91-1.95
Ce  0.7500  0.8078  0.7904  7 N 2.38-2.61
N  0.7500  0.4359  0.1532  3 Nb 2.14-2.23
Nb  0.7500  0.3364  0.8454  5 N 2.14-2.23